1.
## V3OsW (GGA-PBE)

Data for a relaxed V3OsW crystal.

POSCAR file:
```
V3OsW
1.0
4.796 0.013 -0.508
2.441 4.173 -0.634
1.766 1.202 6.989
V Os W
6 2 2
direct
0.067 0.589 0.355
0.411 0.940 0.210
0.943 0.469 0.035
0.129 0.655 0.679
0.420 0.943 0.516
0.443 0.470 0.024
0.828 0.357 0.698
0.943 0.968 0.027
0.473 0.001 0.835
0.725 0.258 0.382
```

Calculated formation energy in kJ per mole of atoms: 1.0
SG: P1
Polymorph energy (0 for the lowest one) in eV per formula unit: 0.00


2.
## V3OsW (GGA-PBE)

Data for a relaxed V3OsW crystal.

POSCAR file:
```
V3OsW
1.0
-3.967 -1.783 1.260
2.167 -3.530 1.828
0.263 2.205 3.946
V W Os
3 1 1
direct
0.000 0.000 0.500
0.500 0.000 0.000
0.000 0.500 0.000
0.500 0.500 0.500
0.000 0.000 0.000
```

Calculated formation energy in kJ per mole of atoms: 140.9
SG: Pm-3m
Polymorph energy (0 for the lowest one) in eV per formula unit: 7.25


3.
## V3OsW2 (GGA-PBE)

Data for a relaxed V3OsW2 crystal.

POSCAR file:
```
V3OsW2
1.0
-2.674 -1.112 -0.977
1.371 -1.100 -2.500
1.686 -7.936 4.414
W V Os
2 3 1
direct
0.500 0.500 0.832
0.500 0.500 0.168
0.000 0.000 0.000
0.000 0.000 0.335
0.000 0.000 0.665
0.500 0.500 0.500
```

Calculated formation energy in kJ per mole of atoms: -18.8
SG: P4/mmm
Polymorph energy (0 for the lowest one) in eV per formula unit: 0.14


4.
## VOsW (GGA-PBE)

Data for a relaxed VOsW crystal.

POSCAR file:
```
VOsW
1.0
3.728 0.000 0.000
0.000 3.728 0.000
0.000 0.000 6.734
V W Os
2 2 2
direct
0.000 0.000 0.500
0.500 0.500 0.500
0.500 0.000 0.852
0.000 0.500 0.148
0.500 0.000 0.226
0.000 0.500 0.774
```

Calculated formation energy in kJ per mole of atoms: 31.7
SG: P4/nmm
Polymorph energy (0 for the lowest one) in eV per formula unit: 1.21